Record 1
An optimized crystal structure of CaHfBiBr2. Source: Alexandria via LeMat-Bulk, functional PBE-GGA.

The structure in POSCAR format:
```
CaHfBiBr2
1.0
5.103 0.000 0.000
0.000 5.103 0.000
0.000 0.000 7.216
Ca Hf Bi Br
1 1 1 2
direct
0.000 0.000 0.000
0.000 0.000 0.500
0.500 0.500 0.000
0.000 0.500 0.500
0.500 0.000 0.500
```

Calculated values
For the formation energy (no corrections), the calculation gives -0.175 eV/atom.


Record 2
An optimized crystal structure of Ca2InBiBr8. Source: Alexandria via LeMat-Bulk, functional PBE-GGA.

The structure in POSCAR format:
```
Ca2InBiBr8
1.0
6.781 0.000 0.000
0.000 9.071 0.000
0.000 0.000 7.112
Ca In Bi Br
2 1 1 8
direct
0.000 0.246 0.000
0.000 0.754 0.000
0.500 0.000 0.500
0.500 0.500 0.500
0.227 0.000 0.135
0.243 0.500 0.162
0.249 0.278 0.663
0.249 0.722 0.663
0.751 0.278 0.337
0.751 0.722 0.337
0.757 0.500 0.838
0.773 0.000 0.865
```

Calculated values
For the formation energy (no corrections), the calculation gives -1.327 eV/atom.


Record 3
An optimized crystal structure of Ca12Bi4BrN3. Source: Alexandria via LeMat-Bulk, functional PBE-GGA.

The structure in POSCAR format:
```
Ca12Bi4BrN3
1.0
-5.086 5.086 5.086
5.086 -5.086 5.086
5.086 5.086 -5.086
Ca Bi Br N
12 4 1 3
direct
0.000 0.278 0.278
0.000 0.722 0.722
0.250 0.500 0.750
0.250 0.750 0.500
0.278 0.000 0.278
0.278 0.278 0.000
0.500 0.250 0.750
0.500 0.750 0.250
0.722 0.000 0.722
0.722 0.722 0.000
0.750 0.250 0.500
0.750 0.500 0.250
0.000 0.000 0.500
0.000 0.500 0.000
0.500 0.000 0.000
0.500 0.500 0.500
0.000 0.000 0.000
0.000 0.500 0.500
0.500 0.000 0.500
0.500 0.500 0.000
```

Calculated values
For the formation energy (no corrections), the calculation gives -0.949 eV/atom.


Record 4
An optimized crystal structure of NaCa2BiBr8. Source: Alexandria via LeMat-Bulk, functional PBE-GGA.

The structure in POSCAR format:
```
NaCa2BiBr8
1.0
6.684 0.000 0.000
0.000 8.836 0.000
-0.016 0.000 6.990
Na Ca Bi Br
1 2 1 8
direct
0.000 0.000 0.000
0.500 0.241 0.500
0.500 0.759 0.500
0.000 0.500 0.000
0.235 0.260 0.837
0.235 0.740 0.837
0.263 0.500 0.339
0.273 0.000 0.336
0.727 0.000 0.664
0.737 0.500 0.661
0.765 0.260 0.163
0.765 0.740 0.163
```

Calculated values
For the formation energy (no corrections), the calculation gives -1.499 eV/atom.


Record 5
An optimized crystal structure of CaBi2Br2O3. Source: Alexandria via LeMat-Bulk, functional PBE-GGA.

The structure in POSCAR format:
```
CaBi2Br2O3
1.0
4.055 0.000 0.000
0.000 4.055 0.000
0.000 0.000 21.703
Ca Bi Br O
2 4 4 6
direct
0.250 0.250 0.234
0.750 0.750 0.766
0.250 0.250 0.445
0.250 0.250 0.860
0.750 0.750 0.140
0.750 0.750 0.555
0.250 0.250 0.064
0.250 0.250 0.633
0.750 0.750 0.367
0.750 0.750 0.936
0.250 0.750 0.194
0.250 0.750 0.500
0.250 0.750 0.806
0.750 0.250 0.194
0.750 0.250 0.500
0.750 0.250 0.806
```

Calculated values
For the formation energy (no corrections), the calculation gives -1.472 eV/atom.


Record 6
An optimized crystal structure of CaBiBr2O. Source: Alexandria via LeMat-Bulk, functional PBE-GGA.

The structure in POSCAR format:
```
CaBiBr2O
1.0
5.398 0.000 0.000
0.000 5.398 0.000
0.000 0.000 6.832
Ca Bi Br O
1 1 2 1
direct
0.000 0.000 0.000
0.000 0.000 0.500
0.000 0.500 0.000
0.500 0.000 0.000
0.500 0.500 0.500
```

Calculated values
For the formation energy (no corrections), the calculation gives -0.085 eV/atom.


Record 7
An optimized crystal structure of Ca4Bi2Br4O3. Source: Alexandria via LeMat-Bulk, functional PBE-GGA.

The structure in POSCAR format:
```
Ca4Bi2Br4O3
1.0
4.178 0.000 0.000
0.000 4.178 0.000
0.000 0.000 33.262
Ca Bi Br O
4 2 4 3
direct
0.000 0.000 0.140
0.000 0.000 0.261
0.000 0.000 0.739
0.000 0.000 0.860
0.000 0.000 0.437
0.000 0.000 0.563
0.000 0.000 0.062
0.000 0.000 0.343
0.000 0.000 0.657
0.000 0.000 0.938
0.000 0.000 0.201
0.000 0.000 0.500
0.000 0.000 0.799
```

Calculated values
For the formation energy (no corrections), the calculation gives -0.915 eV/atom.


Record 8
An optimized crystal structure of CaPuBiBr. Source: Alexandria via LeMat-Bulk, functional PBE-GGA.

The structure in POSCAR format:
```
CaPuBiBr
1.0
0.000 3.893 3.893
3.893 0.000 3.893
3.893 3.893 0.000
Ca Pu Bi Br
1 1 1 1
direct
0.000 0.000 0.000
0.500 0.500 0.500
0.250 0.250 0.250
0.750 0.750 0.750
```

Calculated values
For the formation energy (no corrections), the calculation gives -0.793 eV/atom.


Record 9
An optimized crystal structure of Rb2CaBiBr6. Source: Alexandria via LeMat-Bulk, functional PBE-GGA.

The structure in POSCAR format:
```
Rb2CaBiBr6
1.0
-4.065 4.065 6.340
4.065 -4.065 6.340
4.065 4.065 -6.340
Rb Ca Bi Br
2 1 1 6
direct
0.250 0.750 0.500
0.750 0.250 0.500
0.000 0.000 0.000
0.500 0.500 0.000
0.224 0.224 0.000
0.251 0.251 0.502
0.251 0.749 0.000
0.749 0.251 0.000
0.749 0.749 0.498
0.776 0.776 0.000
```

Calculated values
For the formation energy (no corrections), the calculation gives -1.380 eV/atom.


Record 10
An optimized crystal structure of RbCaBiBr6. Source: Alexandria via LeMat-Bulk, functional PBE-GGA.

The structure in POSCAR format:
```
RbCaBiBr6
1.0
7.550 0.000 0.000
-3.775 6.538 0.000
0.000 0.000 7.622
Rb Ca Bi Br
1 1 1 6
direct
0.000 0.000 0.000
0.333 0.667 0.500
0.667 0.333 0.500
0.374 0.003 0.719
0.374 0.371 0.281
0.629 0.003 0.281
0.629 0.626 0.719
0.997 0.371 0.719
0.997 0.626 0.281
```

Calculated values
For the formation energy (no corrections), the calculation gives -1.428 eV/atom.


Record 11
An optimized crystal structure of CaBiSBr2. Source: Alexandria via LeMat-Bulk, functional PBE-GGA.

The structure in POSCAR format:
```
CaBiSBr2
1.0
5.756 0.000 0.000
0.000 5.756 0.000
0.000 0.000 5.389
Ca Bi S Br
1 1 1 2
direct
0.000 0.000 0.000
0.500 0.500 0.500
0.500 0.500 0.000
0.000 0.500 0.500
0.500 0.000 0.500
```

Calculated values
For the formation energy (no corrections), the calculation gives -0.509 eV/atom.


Record 12
An optimized crystal structure of SrCaBiBr. Source: Alexandria via LeMat-Bulk, functional PBE-GGA.

The structure in POSCAR format:
```
SrCaBiBr
1.0
0.000 4.006 4.006
4.006 0.000 4.006
4.006 4.006 0.000
Sr Ca Bi Br
1 1 1 1
direct
0.000 0.000 0.000
0.500 0.500 0.500
0.250 0.250 0.250
0.750 0.750 0.750
```

Calculated values
For the formation energy (no corrections), the calculation gives -1.194 eV/atom.